[1]
Below is K3BiPCO7 after structural relaxation, with properties calculated at the GGA-PBEsol level.

abc: 6.248 7.153 10.280
angles: 90.00 104.35 90.00
Fractional coordinates of all 26 atoms:
K 0.208 0.250 0.063
K 0.219 0.514 0.698
K 0.219 0.986 0.698
K 0.781 0.014 0.302
K 0.781 0.486 0.302
K 0.792 0.750 0.937
Bi 0.291 0.750 0.321
Bi 0.709 0.250 0.679
P 0.312 0.250 0.391
P 0.688 0.750 0.609
C 0.370 0.750 0.040
C 0.630 0.250 0.960
O 0.191 0.750 0.087
O 0.202 0.250 0.508
O 0.238 0.076 0.298
O 0.238 0.424 0.298
O 0.347 0.750 0.913
O 0.430 0.750 0.562
O 0.439 0.250 0.875
O 0.561 0.750 0.125
O 0.570 0.250 0.438
O 0.653 0.250 0.087
O 0.762 0.576 0.702
O 0.762 0.924 0.702
O 0.798 0.750 0.492
O 0.809 0.250 0.913

Summary:
For the calculated volume, the calculation gives 17.119 Å³/atom. The spin magnetization is 1.00 μB per formula unit. The density comes out at 3.59 g/cm3. The formation energy (no corrections) is -2276 kJ/mol of formula units.

[2]
Below is CaScCu2 after structural relaxation, with properties calculated at the GGA-PBEsol level.

abc: 4.746 4.746 3.252
angles: 90.00 90.00 90.08
Fractional coordinates of all 4 atoms:
Ca 0.000 0.000 0.000
Sc 0.500 0.500 0.000
Cu 0.000 0.500 0.500
Cu 0.500 0.000 0.500

Summary:
The value obtained for the energy above the most stable polymorph in this dataset is 0.28 eV per formula unit. The value obtained for the formation energy is -0.0718 eV/atom. For the calculated volume, the calculation gives 18.315 Å³/atom. The spin magnetization is 0.00 μB per formula unit. The density comes out at 4.81 g/cm3.

[3]
Below is YPO4 after structural relaxation, with properties calculated at the GGA-PBEsol level.

abc: 6.854 6.854 6.222
angles: 90.00 90.00 120.00
Fractional coordinates of all 18 atoms:
Y 0.000 0.500 0.167
Y 0.500 0.000 0.500
Y 0.500 0.500 0.833
P 0.000 0.500 0.667
P 0.500 0.000 0.000
P 0.500 0.500 0.333
O 0.141 0.443 0.820
O 0.141 0.698 0.513
O 0.302 0.443 0.180
O 0.302 0.859 0.154
O 0.443 0.141 0.846
O 0.443 0.302 0.487
O 0.557 0.698 0.487
O 0.557 0.859 0.846
O 0.698 0.141 0.154
O 0.698 0.557 0.180
O 0.859 0.302 0.513
O 0.859 0.557 0.820

Summary:
For the calculated volume, the calculation gives 14.061 Å³/atom. The spin magnetization is 0.00 μB per formula unit. The density comes out at 3.62 g/cm3. The formation energy (no corrections) is -1757 kJ/mol of formula units.

[4]
Below is MnAg2Ir after structural relaxation, with properties calculated at the GGA-PBEsol level.

abc: 4.695 4.695 4.695
angles: 129.46 129.46 74.27
Fractional coordinates of all 4 atoms:
Mn 0.000 0.000 0.000
Ag 0.500 0.500 0.000
Ag 0.750 0.250 0.500
Ir 0.250 0.750 0.500

Summary:
The value obtained for the energy above the most stable polymorph in this dataset is 0.39 eV per formula unit. The value obtained for the formation energy is 0.3205 eV/atom. For the calculated volume, the calculation gives 15.032 Å³/atom. The spin magnetization is 3.97 μB per formula unit. The density comes out at 12.78 g/cm3.

[5]
Below is TiAgIr3 after structural relaxation, with properties calculated at the GGA-PBEsol level.

abc: 4.645 4.645 4.645
angles: 90.00 90.00 90.00
Fractional coordinates of all 5 atoms:
Ti 0.000 0.000 0.000
Ag 0.500 0.500 0.500
Ir 0.000 0.500 0.500
Ir 0.500 0.000 0.500
Ir 0.500 0.500 0.000

Summary:
The value obtained for the formation energy is 2.1704 eV/atom. For the calculated volume, the calculation gives 20.044 Å³/atom. The spin magnetization is 0.24 μB per formula unit. The density comes out at 12.13 g/cm3.

[6]
Below is AlPPb2 after structural relaxation, with properties calculated at the GGA-PBEsol level.

abc: 4.945 4.945 3.775
angles: 90.11 90.11 95.61
Fractional coordinates of all 4 atoms:
Al 0.000 0.000 0.000
P 0.500 0.500 0.000
Pb 0.000 0.500 0.500
Pb 0.500 0.000 0.500

Summary:
The value obtained for the energy above the most stable polymorph in this dataset is 1.26 eV per formula unit. The value obtained for the formation energy is 0.3079 eV/atom. For the calculated volume, the calculation gives 22.966 Å³/atom. The spin magnetization is 0.00 μB per formula unit. The density comes out at 8.54 g/cm3.

[7]
Below is AlGeBi3 after structural relaxation, with properties calculated at the GGA-PBEsol level.

abc: 5.456 5.456 5.456
angles: 90.00 90.00 90.00
Fractional coordinates of all 5 atoms:
Al 0.000 0.000 0.000
Ge 0.500 0.500 0.500
Bi 0.000 0.500 0.500
Bi 0.500 0.000 0.500
Bi 0.500 0.500 0.000

Summary:
The value obtained for the formation energy is 0.7137 eV/atom. For the calculated volume, the calculation gives 32.476 Å³/atom. The spin magnetization is 0.00 μB per formula unit. The density comes out at 7.43 g/cm3.

[8]
Below is TcOsRh after structural relaxation, with properties calculated at the GGA-PBEsol level.

abc: 4.101 4.101 4.101
angles: 60.00 60.00 60.00
Fractional coordinates of all 3 atoms:
Tc 0.000 0.000 0.000
Os 0.250 0.250 0.250
Rh 0.750 0.750 0.750

Summary:
The value obtained for the formation energy is 0.6235 eV/atom. For the calculated volume, the calculation gives 16.251 Å³/atom. The spin magnetization is 0.00 μB per formula unit. The density comes out at 13.32 g/cm3.

[9]
Below is ZrTlSe2 after structural relaxation, with properties calculated at the GGA-PBEsol level.

abc: 4.954 4.954 4.954
angles: 60.00 60.00 60.00
Fractional coordinates of all 4 atoms:
Zr 0.000 0.000 0.000
Tl 0.250 0.250 0.250
Se 0.500 0.500 0.500
Se 0.750 0.750 0.750

Summary:
For the calculated volume, the calculation gives 21.495 Å³/atom. The spin magnetization is 0.52 μB per formula unit. The density comes out at 8.76 g/cm3. The formation energy (no corrections) is -8 kJ/mol of formula units.

[10]
Below is SrEuTe2 after structural relaxation, with properties calculated at the GGA-PBEsol level.

abc: 7.985 7.985 7.985
angles: 33.48 33.48 33.48
Fractional coordinates of all 4 atoms:
Sr 0.000 0.000 0.000
Eu 0.500 0.500 0.500
Te 0.248 0.248 0.248
Te 0.752 0.752 0.752

Summary:
For the calculated volume, the calculation gives 34.491 Å³/atom. The spin magnetization is 7.00 μB per formula unit. The density comes out at 5.96 g/cm3. The formation energy (no corrections) is -656 kJ/mol of formula units.

[11]
Below is Sc2InIr after structural relaxation, with properties calculated at the GGA-PBEsol level.

abc: 3.136 3.136 8.060
angles: 90.00 90.00 90.00
Fractional coordinates of all 4 atoms:
Sc 0.000 0.000 0.000
Sc 0.500 0.500 0.327
In 0.000 0.000 0.590
Ir 0.500 0.500 0.810

Summary:
The value obtained for the formation energy is -0.4136 eV/atom. For the calculated volume, the calculation gives 19.817 Å³/atom. The spin magnetization is 0.35 μB per formula unit. The density comes out at 8.32 g/cm3.

[12]
Below is GdAg2 after structural relaxation, with properties calculated at the GGA-PBEsol level.

abc: 5.294 5.294 5.294
angles: 139.28 139.28 58.94
Fractional coordinates of all 3 atoms:
Gd 0.000 0.000 0.000
Ag 0.327 0.327 0.000
Ag 0.673 0.673 0.000

Summary:
The value obtained for the formation energy is -0.2818 eV/atom. For the calculated volume, the calculation gives 20.840 Å³/atom. The spin magnetization is 7.15 μB per formula unit. The density comes out at 9.91 g/cm3.

[13]
Below is Ba4Ir3O10 after structural relaxation, with properties calculated at the GGA-PBEsol level.

abc: 7.264 13.162 5.720
angles: 90.00 112.33 90.00
Fractional coordinates of all 34 atoms:
Ba 0.017 0.113 0.263
Ba 0.017 0.387 0.763
Ba 0.415 0.137 0.964
Ba 0.415 0.363 0.464
Ba 0.585 0.637 0.536
Ba 0.585 0.863 0.036
Ba 0.983 0.613 0.237
Ba 0.983 0.887 0.737
Ir 0.258 0.651 0.869
Ir 0.258 0.849 0.369
Ir 0.500 0.000 0.500
Ir 0.500 0.500 0.000
Ir 0.742 0.151 0.631
Ir 0.742 0.349 0.131
O 0.033 0.154 0.772
O 0.033 0.346 0.272
O 0.269 0.725 0.568
O 0.269 0.775 0.068
O 0.272 0.525 0.662
O 0.272 0.975 0.162
O 0.288 0.541 0.135
O 0.288 0.959 0.635
O 0.426 0.151 0.472
O 0.426 0.349 0.972
O 0.574 0.651 0.028
O 0.574 0.849 0.528
O 0.712 0.041 0.365
O 0.712 0.459 0.865
O 0.728 0.025 0.838
O 0.728 0.475 0.338
O 0.731 0.225 0.932
O 0.731 0.275 0.432
O 0.967 0.654 0.728
O 0.967 0.846 0.228

Summary:
For the calculated volume, the calculation gives 14.878 Å³/atom. The spin magnetization is 0.00 μB per formula unit. The density comes out at 8.44 g/cm3. The formation energy (no corrections) is -2887 kJ/mol of formula units.

[14]
Below is KGa after structural relaxation, with properties calculated at the GGA-PBEsol level.

abc: 9.866 4.462 6.331
angles: 90.00 90.00 90.00
Fractional coordinates of all 8 atoms:
K 0.174 0.250 0.069
K 0.326 0.750 0.569
K 0.674 0.250 0.431
K 0.826 0.750 0.931
Ga 0.017 0.250 0.568
Ga 0.483 0.750 0.068
Ga 0.517 0.250 0.932
Ga 0.983 0.750 0.432

Summary:
The value obtained for the formation energy is -0.0379 eV/atom. For the calculated volume, the calculation gives 34.838 Å³/atom. The spin magnetization is 0.00 μB per formula unit. The density comes out at 2.59 g/cm3.

[15]
Below is NaBe2Au after structural relaxation, with properties calculated at the GGA-PBEsol level.

abc: 4.190 4.190 4.190
angles: 60.00 60.00 60.00
Fractional coordinates of all 4 atoms:
Na 0.000 0.000 0.000
Be 0.250 0.250 0.250
Be 0.750 0.750 0.750
Au 0.500 0.500 0.500

Summary:
The value obtained for the formation energy is 0.2038 eV/atom. For the calculated volume, the calculation gives 13.003 Å³/atom. The spin magnetization is 0.00 μB per formula unit. The density comes out at 7.60 g/cm3.

[16]
Below is Al2OsO after structural relaxation, with properties calculated at the GGA-PBEsol level.

abc: 5.145 5.145 5.145
angles: 113.06 113.06 102.52
Fractional coordinates of all 8 atoms:
Al 0.038 0.625 0.913
Al 0.375 0.288 0.413
Al 0.712 0.125 0.087
Al 0.875 0.962 0.587
Os 0.250 0.750 0.500
Os 0.500 0.500 0.000
O 0.000 0.000 0.000
O 0.750 0.250 0.500

Summary:
For the calculated volume, the calculation gives 12.965 Å³/atom. The spin magnetization is 0.08 μB per formula unit. The density comes out at 8.33 g/cm3. The formation energy (no corrections) is -275 kJ/mol of formula units.

[17]
Below is Zr9Co2P4 after structural relaxation, with properties calculated at the GGA-PBEsol level.

abc: 11.917 11.917 3.625
angles: 90.00 90.00 90.00
Fractional coordinates of all 30 atoms:
Zr 0.000 0.000 0.000
Zr 0.096 0.404 0.000
Zr 0.105 0.181 0.500
Zr 0.121 0.621 0.500
Zr 0.181 0.895 0.500
Zr 0.319 0.395 0.500
Zr 0.379 0.121 0.500
Zr 0.395 0.681 0.500
Zr 0.404 0.904 0.000
Zr 0.500 0.500 0.000
Zr 0.596 0.096 0.000
Zr 0.605 0.319 0.500
Zr 0.621 0.879 0.500
Zr 0.681 0.605 0.500
Zr 0.819 0.105 0.500
Zr 0.879 0.379 0.500
Zr 0.895 0.819 0.500
Zr 0.904 0.596 0.000
Co 0.250 0.250 0.000
Co 0.250 0.750 0.000
Co 0.750 0.250 0.000
Co 0.750 0.750 0.000
P 0.057 0.775 0.000
P 0.225 0.057 0.000
P 0.275 0.557 0.000
P 0.443 0.275 0.000
P 0.557 0.725 0.000
P 0.725 0.443 0.000
P 0.775 0.943 0.000
P 0.943 0.225 0.000

Summary:
The value obtained for the formation energy is -1.0313 eV/atom. For the calculated volume, the calculation gives 17.162 Å³/atom. The spin magnetization is 0.00 μB per formula unit. The density comes out at 6.86 g/cm3.

[18]
Below is Y4AlAu after structural relaxation, with properties calculated at the GGA-PBEsol level.

abc: 6.009 6.009 6.009
angles: 60.00 60.00 60.00
Fractional coordinates of all 6 atoms:
Y 0.125 0.125 0.125
Y 0.125 0.125 0.626
Y 0.125 0.626 0.125
Y 0.626 0.125 0.125
Al 0.750 0.750 0.750
Au 0.500 0.500 0.500

Summary:
The value obtained for the formation energy is 0.3433 eV/atom. For the calculated volume, the calculation gives 25.575 Å³/atom. The spin magnetization is 0.00 μB per formula unit. The density comes out at 6.27 g/cm3.

[19]
Below is Li2TeMo after structural relaxation, with properties calculated at the GGA-PBEsol level.

abc: 8.797 8.797 8.797
angles: 21.52 21.52 21.52
Fractional coordinates of all 4 atoms:
Li 0.000 0.000 0.000
Li 0.244 0.244 0.244
Te 0.759 0.759 0.759
Mo 0.496 0.496 0.496

Summary:
For the calculated volume, the calculation gives 20.059 Å³/atom. The spin magnetization is 0.00 μB per formula unit. The density comes out at 4.91 g/cm3. The formation energy (no corrections) is 95 kJ/mol of formula units.

[20]
Below is Cr2ReCl after structural relaxation, with properties calculated at the GGA-PBEsol level.

abc: 4.188 4.188 4.188
angles: 60.00 60.00 60.00
Fractional coordinates of all 4 atoms:
Cr 0.250 0.250 0.250
Cr 0.750 0.750 0.750
Re 0.000 0.000 0.000
Cl 0.500 0.500 0.500

Summary:
For the calculated volume, the calculation gives 12.985 Å³/atom. The spin magnetization is 0.01 μB per formula unit. The density comes out at 10.41 g/cm3. The formation energy (no corrections) is 398 kJ/mol of formula units.

[21]
Below is NaSrCa2 after structural relaxation, with properties calculated at the GGA-PBEsol level.

abc: 6.222 6.222 6.222
angles: 60.00 60.00 60.00
Fractional coordinates of all 4 atoms:
Na 0.000 0.000 0.000
Sr 0.500 0.500 0.500
Ca 0.250 0.250 0.250
Ca 0.750 0.750 0.750

Summary:
The value obtained for the formation energy is 0.0994 eV/atom. For the calculated volume, the calculation gives 42.588 Å³/atom. The spin magnetization is 0.00 μB per formula unit. The density comes out at 1.86 g/cm3.

[22]
Below is ZnBBr3 after structural relaxation, with properties calculated at the GGA-PBEsol level.

abc: 4.635 4.635 4.635
angles: 90.00 90.00 90.00
Fractional coordinates of all 5 atoms:
Zn 0.000 0.000 0.000
B 0.500 0.500 0.500
Br 0.000 0.500 0.500
Br 0.500 0.000 0.500
Br 0.500 0.500 0.000

Summary:
For the calculated volume, the calculation gives 19.920 Å³/atom. The spin magnetization is 0.00 μB per formula unit. The density comes out at 5.27 g/cm3. The formation energy (no corrections) is 186 kJ/mol of formula units.

[23]
Below is MgTl after structural relaxation, with properties calculated at the GGA-PBEsol level.

abc: 5.058 5.058 5.058
angles: 39.94 39.94 39.94
Fractional coordinates of all 2 atoms:
Mg 0.000 0.000 0.000
Tl 0.500 0.500 0.500

Summary:
The value obtained for the formation energy is -0.0690 eV/atom. For the calculated volume, the calculation gives 24.019 Å³/atom. The spin magnetization is 0.00 μB per formula unit. The density comes out at 7.91 g/cm3.

[24]
Below is Zr3BCl after structural relaxation, with properties calculated at the GGA-PBEsol level.

abc: 4.618 4.618 4.618
angles: 90.00 90.00 90.00
Fractional coordinates of all 5 atoms:
Zr 0.000 0.000 0.500
Zr 0.000 0.500 0.000
Zr 0.500 0.000 0.000
B 0.500 0.500 0.500
Cl 0.000 0.000 0.000

Summary:
For the calculated volume, the calculation gives 19.695 Å³/atom. The spin magnetization is 0.00 μB per formula unit. The density comes out at 5.39 g/cm3. The formation energy (no corrections) is 307 kJ/mol of formula units.